[1]
# MgNiO, optimized geometry, DFT GGA+U
# E: -3.879 eV/atom
data_MgNiO
_symmetry_space_group_name_H-M 'P 4/n m m'
_symmetry_Int_Tables_number 129
_cell_length_a 3.8172
_cell_length_b 3.8172
_cell_length_c 5.7067
_cell_angle_alpha 90.00
_cell_angle_beta 90.00
_cell_angle_gamma 90.00
loop_
_symmetry_equiv_pos_as_xyz
'x,y,z'
'-x,-y,-z'
'-y+1/2,x,z'
'y+1/2,-x,-z'
'-x+1/2,-y+1/2,z'
'x+1/2,y+1/2,-z'
'y,-x+1/2,z'
'-y,x+1/2,-z'
'x+1/2,-y,-z'
'-x+1/2,y,z'
'-y,-x,-z'
'y,x,z'
'-x,y+1/2,-z'
'x,-y+1/2,z'
'y+1/2,x+1/2,-z'
'-y+1/2,-x+1/2,z'
loop_
_atom_site_label
_atom_site_type_symbol
_atom_site_fract_x
_atom_site_fract_y
_atom_site_fract_z
Mg1 Mg 0.2500 0.2500 0.0948
Ni1 Ni 0.2500 0.2500 0.5828
O1 O 0.2500 0.7500 0.0000

[2]
# MgNi2O, optimized geometry, DFT GGA+U
# energy above the lowest structure with this stoichiometry: 0 meV/atom
data_MgNi2O
_symmetry_space_group_name_H-M 'I 41/a m d'
_symmetry_Int_Tables_number 141
_cell_length_a 4.7570
_cell_length_b 4.7570
_cell_length_c 11.1758
_cell_angle_alpha 90.00
_cell_angle_beta 90.00
_cell_angle_gamma 90.00
loop_
_symmetry_equiv_pos_as_xyz
'x,y,z'
'-x,-y,-z'
'-y+1/4,x+3/4,z+1/4'
'y+1/4,-x+3/4,-z+1/4'
'-x+1/2,-y,z+1/2'
'x+1/2,y,-z+1/2'
'y+1/4,-x+1/4,z+3/4'
'-y+1/4,x+1/4,-z+3/4'
'x,-y,-z'
'-x,y,z'
'-y+1/4,-x+1/4,-z+3/4'
'y+1/4,x+1/4,z+3/4'
'-x+1/2,y,-z+1/2'
'x+1/2,-y,z+1/2'
'y+1/4,x+3/4,-z+1/4'
'-y+1/4,-x+3/4,z+1/4'
'x+1/2,y+1/2,z+1/2'
'-x+1/2,-y+1/2,-z+1/2'
'-y+3/4,x+1/4,z+3/4'
'y+3/4,-x+1/4,-z+3/4'
'-x,-y+1/2,z'
'x,y+1/2,-z'
'y+3/4,-x+3/4,z+1/4'
'-y+3/4,x+3/4,-z+1/4'
'x+1/2,-y+1/2,-z+1/2'
'-x+1/2,y+1/2,z+1/2'
'-y+3/4,-x+3/4,-z+1/4'
'y+3/4,x+3/4,z+1/4'
'-x,y+1/2,-z'
'x,-y+1/2,z'
'y+3/4,x+1/4,-z+3/4'
'-y+3/4,-x+1/4,z+3/4'
loop_
_atom_site_label
_atom_site_type_symbol
_atom_site_fract_x
_atom_site_fract_y
_atom_site_fract_z
Mg1 Mg 0.0000 0.2500 0.3750
Ni1 Ni 0.0000 0.0000 0.0000
O1 O 0.0000 0.2500 0.8750

[3]
# MgNiO, optimized geometry, DFT GGA+U
# E: -3.836 eV/atom
data_MgNiO
_symmetry_space_group_name_H-M 'P n m a'
_symmetry_Int_Tables_number 62
_symmetry_space_group_name_Hall '-P 2ac 2n'
_cell_length_a 9.0391
_cell_length_b 2.9633
_cell_length_c 5.0520
_cell_angle_alpha 90.00
_cell_angle_beta 90.00
_cell_angle_gamma 90.00
loop_
_atom_site_label
_atom_site_type_symbol
_atom_site_fract_x
_atom_site_fract_y
_atom_site_fract_z
Mg1 Mg 0.1567 0.2500 0.1516
Ni1 Ni 0.0597 0.2500 0.6378
O1 O 0.1560 0.7500 0.8775

[4]
# MgNi3O, optimized geometry, DFT GGA+U
# energy above the lowest structure with this stoichiometry: 1254 meV/atom
data_MgNi3O
_symmetry_space_group_name_H-M 'P m -3 m'
_symmetry_Int_Tables_number 221
_symmetry_space_group_name_Hall '-P 4 2 3'
_cell_length_a 4.4617
_cell_length_b 4.4617
_cell_length_c 4.4617
_cell_angle_alpha 90.00
_cell_angle_beta 90.00
_cell_angle_gamma 90.00
loop_
_atom_site_label
_atom_site_type_symbol
_atom_site_fract_x
_atom_site_fract_y
_atom_site_fract_z
Mg1 Mg 0.0000 0.0000 0.0000
Ni1 Ni 0.0000 0.0000 0.5000
O1 O 0.5000 0.5000 0.5000

[5]
# Mg2NiO3, optimized geometry, DFT GGA+U
# E: -5.615 eV/atom
data_Mg2NiO3
_symmetry_space_group_name_H-M 'C 1 2/m 1'
_symmetry_Int_Tables_number 12
_symmetry_space_group_name_Hall '-C 2y'
_cell_length_a 5.1953
_cell_length_b 8.9992
_cell_length_c 5.1816
_cell_angle_alpha 90.00
_cell_angle_beta 109.53
_cell_angle_gamma 90.00
loop_
_atom_site_label
_atom_site_type_symbol
_atom_site_fract_x
_atom_site_fract_y
_atom_site_fract_z
Mg1 Mg 0.0000 0.0000 0.0000
Mg2 Mg 0.0000 0.1683 0.5000
Mg3 Mg 0.0000 0.5000 0.5000
Ni1 Ni 0.0000 0.3335 0.0000
O1 O 0.2480 0.0000 0.7477
O2 O 0.2499 0.1660 0.2520

[6]
# Mg2NiO, optimized geometry, DFT GGA+U
# E: -3.282 eV/atom
data_Mg2NiO
_symmetry_space_group_name_H-M 'I -4 2 d'
_symmetry_Int_Tables_number 122
_symmetry_space_group_name_Hall 'I -4 2bw'
_cell_length_a 5.8084
_cell_length_b 5.8084
_cell_length_c 7.0815
_cell_angle_alpha 90.00
_cell_angle_beta 90.00
_cell_angle_gamma 90.00
loop_
_atom_site_label
_atom_site_type_symbol
_atom_site_fract_x
_atom_site_fract_y
_atom_site_fract_z
Mg1 Mg 0.1706 0.2500 0.1250
Ni1 Ni 0.0000 0.0000 0.5000
O1 O 0.0000 0.0000 0.0000

[7]
# MgNiO, optimized geometry, DFT GGA+U
# E: -4.124 eV/atom
data_MgNiO
_symmetry_space_group_name_H-M 'P 1'
_symmetry_Int_Tables_number 1
_symmetry_space_group_name_Hall 'P 1'
_cell_length_a 2.8618
_cell_length_b 3.1242
_cell_length_c 9.2587
_cell_angle_alpha 86.94
_cell_angle_beta 81.15
_cell_angle_gamma 62.81
loop_
_atom_site_label
_atom_site_type_symbol
_atom_site_fract_x
_atom_site_fract_y
_atom_site_fract_z
Mg1 Mg 0.0000 0.0000 0.0000
Mg2 Mg 0.0125 0.6876 0.2871
Ni1 Ni 0.1815 0.1013 0.5324
Ni2 Ni 0.3736 0.5148 0.7341
O1 O 0.3862 0.0496 0.1780
O2 O 0.7428 0.6139 0.8991

[8]
# MgNiO, optimized geometry, DFT GGA+U
# E: -4.155 eV/atom
data_MgNiO
_symmetry_space_group_name_H-M 'P 1 21 1'
_symmetry_Int_Tables_number 4
_symmetry_space_group_name_Hall 'P 2yb'
_cell_length_a 3.2771
_cell_length_b 4.0304
_cell_length_c 5.8974
_cell_angle_alpha 90.00
_cell_angle_beta 90.14
_cell_angle_gamma 90.00
loop_
_atom_site_label
_atom_site_type_symbol
_atom_site_fract_x
_atom_site_fract_y
_atom_site_fract_z
Mg1 Mg 0.2494 0.0000 0.3978
Ni1 Ni 0.2504 0.4976 0.0575
O1 O 0.2496 0.5000 0.4042

For reference, magnetization by record: 1.023 0.833 0.000 3.051 2.000 0.000 1.006 1.054 μB/f.u..